# 1
Nd2CuO4 (PBE, relaxed); uncorrected formation energy = -2.57 eV per atom; energy relative to the lowest polymorph listed for this composition = 0.000 eV/atom; energy = -7.355 eV per atom
1.0
3.974 0.000 0.000
0.000 3.974 0.000
0.000 0.000 12.347
Nd Cu O
4 2 8
Direct
0.000 0.000 0.150
0.000 0.000 0.850
0.500 0.500 0.350
0.500 0.500 0.650
0.000 0.000 0.500
0.500 0.500 0.000
0.000 0.500 0.000
0.000 0.500 0.250
0.000 0.500 0.500
0.000 0.500 0.750
0.500 0.000 0.000
0.500 0.000 0.250
0.500 0.000 0.500
0.500 0.000 0.750

# 2
ScP2AuO (PBE, relaxed); uncorrected formation energy = 0.21 eV per atom; energy relative to the lowest polymorph listed for this composition = 0.301 eV/atom; energy = -4.868 eV per atom
1.0
4.836 0.000 0.000
0.000 4.836 0.000
0.000 0.000 3.984
Sc P Au O
1 2 1 1
Direct
0.000 0.000 0.000
0.000 0.500 0.500
0.500 0.000 0.500
0.500 0.500 0.500
0.500 0.500 0.000

# 3
GdZrNiRu (PBE, relaxed); calculated formation energy = -0.347 eV/atom; energy = -9.769 eV per atom
1.0
6.674 0.000 0.000
0.000 6.674 0.000
0.000 0.000 6.674
Gd Zr Ni Ru
4 4 4 4
Direct
0.000 0.000 0.000
0.000 0.500 0.500
0.500 0.000 0.500
0.500 0.500 0.000
0.000 0.000 0.500
0.000 0.500 0.000
0.500 0.000 0.000
0.500 0.500 0.500
0.250 0.250 0.750
0.250 0.750 0.250
0.750 0.250 0.250
0.750 0.750 0.750
0.250 0.250 0.250
0.250 0.750 0.750
0.750 0.250 0.750
0.750 0.750 0.250